# 1
Crystalline Cs2Pa2PdSe6 at its relaxed geometry, computed with PBE.

Cell and atoms, written as extended XYZ:
```
11
Lattice="7.100 -0.030 0.099 -3.536 6.157 0.099 -1.223 -2.102 8.540" Properties=species:S:1:pos:R:3 pbc="T T T"
Cs 5.396 0.961 0.099
Cs -1.831 5.166 0.099
Pa -0.597 3.041 4.369
Pa 2.938 0.984 4.369
Pd -0.612 -1.051 4.270
Se 1.694 2.912 5.975
Se -1.854 1.047 5.874
Se 0.648 1.113 2.763
Se 1.826 -1.095 5.874
Se 4.196 2.978 2.864
Se 0.515 5.119 2.864
```

Its total DFT energy (no corrections) is -59.9 eV/f.u. The calculation puts the formation energy without anion corrections at -27.536 kcal/mol of atoms.

---

# 2
Crystalline Cs3PaTe6Pd2 at its relaxed geometry, computed with PBE.

Cell and atoms, written as extended XYZ:
```
12
Lattice="7.400 0.006 -0.003 -3.693 6.412 -0.003 -1.241 -2.149 8.976" Properties=species:S:1:pos:R:3 pbc="T T T"
Cs -2.506 4.294 4.485
Cs 4.972 -0.025 4.485
Cs 1.233 2.135 4.485
Pa 0.000 0.000 0.000
Te 3.772 2.019 7.398
Te 2.402 4.159 1.551
Te -1.306 2.250 1.572
Te -0.136 4.276 7.398
Te 0.063 0.110 7.419
Te 2.601 -0.007 1.572
Pd 0.001 4.279 -0.003
Pd 3.705 2.139 -0.003
```

The density of states at the Fermi level comes out at 8.461 states/eV/cell. Its total DFT energy (no corrections) is -49.1 eV/f.u. The calculation puts the formation energy without anion corrections at -14.933 kcal/mol of atoms.

---

# 3
Crystalline CsPaTe4Pd2 at its relaxed geometry, computed with PBE.

Cell and atoms, written as extended XYZ:
```
8
Lattice="5.983 0.000 0.000 2.992 6.606 0.275 2.992 0.815 6.561" Properties=species:S:1:pos:R:3 pbc="T T T"
Cs 0.000 0.000 0.000
Pa 5.983 3.711 3.418
Te 4.879 0.948 3.464
Te 4.879 6.473 3.372
Te 7.088 3.530 0.661
Te 7.088 3.891 6.175
Pd 2.992 2.682 2.471
Pd 8.975 4.739 4.365
```

The density of states at the Fermi level comes out at 4.411 states/eV/cell. Its total DFT energy (no corrections) is -36.6 eV/f.u. The calculation puts the formation energy without anion corrections at -9.636 kcal/mol of atoms.